Record 1
Compound: Li4HoSc3Te8
Source: Alexandria via LeMat-Bulk
Functional: GGA-PBE
Structure: relaxed Values from VASP.

Results
- Magnetization: 0.000 μB per atom
- Total energy: -75.6 eV/cell
- Formation energy from raw total energies: -1200 meV/atom
- Space-group type: R-3m (166)

```
&SYSTEM
  ibrav = 0, nat = 16, ntyp = 4
/
ATOMIC_SPECIES
Li 6.94 Li.upf
Te 127.60 Te.upf
Sc 44.96 Sc.upf
Ho 164.93 Ho.upf
CELL_PARAMETERS angstrom
-7.4679 3.7543 0.9273
-3.2322 -4.9075 -6.1614
3.7595 -3.5754 6.6185
ATOMIC_POSITIONS angstrom
Li 1.8798 -1.7877 3.3092
Li -3.7339 1.8772 0.4636
Li 0.0000 0.0000 0.0000
Li -1.8542 0.0894 3.7729
Te -4.2077 -4.4474 2.6574
Te -2.7329 -0.2812 -1.2730
Te -0.8208 -2.1238 1.9883
Te -6.1197 -2.6048 -0.6039
Te -6.3630 1.5438 -0.8223
Te -4.5356 -0.1945 2.3952
Te -2.4049 -4.5341 -1.0108
Te -0.5776 -6.2724 2.2066
Sc 0.2637 -4.2415 0.2286
Sc -3.4703 -2.3643 0.6922
Sc -5.3500 -0.5766 -2.6170
Ho -1.6161 -2.4537 -3.0807
```

Record 2
Compound: ScCl
Source: Alexandria via LeMat-Bulk
Functional: GGA-PBE
Structure: relaxed Values from VASP.

Results
- DOS(E_F): 1.38 states/eV/f.u.
- Magnetization: 0.000 μB per atom
- Total energy: -162.5 eV/cell
- Formation energy from raw total energies: -989 meV/atom
- Space-group type: Fddd (70)

```
&SYSTEM
  ibrav = 0, nat = 32, ntyp = 2
/
ATOMIC_SPECIES
Sc 44.96 Sc.upf
Cl 35.45 Cl.upf
CELL_PARAMETERS angstrom
-2.5762 3.6316 6.1738
6.1987 -2.4875 4.0499
5.1830 8.3960 -2.7760
ATOMIC_POSITIONS angstrom
Sc 3.7731 3.7238 -0.6160
Sc 5.1942 2.4829 7.7457
Sc 3.3830 1.9108 2.6339
Sc -0.1065 1.3416 3.8589
Sc 4.2809 -1.7179 2.7969
Sc 2.8310 3.4312 6.2017
Sc 7.6086 2.1846 1.8899
Sc 6.7106 5.8134 1.7269
Sc 3.2211 5.2442 2.9518
Sc 4.6863 7.9246 4.3328
Sc 1.0198 2.8592 1.0899
Sc 9.0738 4.8651 3.2708
Sc 5.5843 4.2959 4.4958
Sc 3.7290 -0.1976 6.3648
Sc 2.3232 8.8730 2.7888
Sc 1.9177 -0.7696 1.2529
Cl 6.0779 7.8967 6.8466
Cl -0.5261 0.7417 1.2609
Cl 1.4394 3.4591 3.6879
Cl 7.1302 6.4134 4.3249
Cl 5.8268 0.3996 2.6260
Cl 5.3190 5.8413 -0.7869
Cl 0.3871 4.9425 6.2097
Cl 1.8295 5.2721 0.4380
Cl 5.1647 3.6959 1.8978
Cl 3.6408 5.8441 5.5498
Cl 4.2667 7.3247 1.7348
Cl 4.7746 1.8829 5.1477
Cl 0.7772 6.7555 2.9598
Cl 2.3374 -0.1697 3.8509
Cl -2.0501 2.8899 4.9129
Cl 1.2851 1.3137 6.3727
```

Record 3
Compound: Y6SbTe3Se2
Source: Alexandria via LeMat-Bulk
Functional: GGA-PBE
Structure: relaxed Values from VASP.

Results
- DOS(E_F): 5.39 states/eV/f.u.
- Magnetization: 0.000 μB per atom
- Total energy: -76.8 eV/cell
- Formation energy from raw total energies: -1459 meV/atom
- Space-group type: C2/m (12)

```
&SYSTEM
  ibrav = 0, nat = 12, ntyp = 4
/
ATOMIC_SPECIES
Y 88.91 Y.upf
Te 127.60 Te.upf
Sb 121.76 Sb.upf
Se 78.96 Se.upf
CELL_PARAMETERS angstrom
7.3677 -0.0021 -0.0007
-3.6839 6.3806 -0.0007
-1.2295 -2.1289 7.0946
ATOMIC_POSITIONS angstrom
Y 0.0516 0.0894 5.5358
Y -0.0947 4.2432 5.5033
Y -1.2684 2.2110 1.5898
Y 2.5490 0.0064 1.5898
Y 3.7226 2.0385 5.5033
Y 2.4026 4.1601 1.5573
Te -2.5089 4.2825 3.5465
Te 4.9632 -0.0329 3.5465
Te 1.2271 2.1248 3.5465
Sb 0.0000 0.0000 0.0000
Se 3.6990 2.1167 -0.0007
Se -0.0152 4.2618 -0.0007
```

Record 4
Compound: Ce2PmPaN4
Source: Alexandria via LeMat-Bulk
Functional: GGA-PBE
Structure: relaxed Values from VASP.

Results
- DOS(E_F): 7.30 states/eV/f.u.
- Magnetization: 0.069 μB per atom
- Total energy: -71.8 eV/cell
- Formation energy from raw total energies: -1552 meV/atom
- Space-group type: P2/m (10)

```
&SYSTEM
  ibrav = 0, nat = 8, ntyp = 4
/
ATOMIC_SPECIES
Pa 231.04 Pa.upf
N 14.01 N.upf
Pm 145.00 Pm.upf
Ce 140.12 Ce.upf
CELL_PARAMETERS angstrom
-1.6185 -2.4247 2.0557
4.2948 -4.1441 -1.5064
1.8041 3.0783 5.0513
ATOMIC_POSITIONS angstrom
Pa 0.0000 0.0000 0.0000
N 3.7485 -2.4426 0.0704
N 2.3504 1.3768 3.4745
N 0.5838 -1.4403 1.8558
N 3.8966 -2.0501 3.7448
Pm 1.3381 -3.2844 0.2747
Ce 0.0928 0.3268 3.5535
Ce 3.0495 -0.5329 1.7724
```